Entry 1:
First-principles (GGA-PBE) data for an optimized crystal structure of Ba2PaPd2Se6, as listed in the Alexandria database.

Cell lengths 6.831, 7.873, 8.009 Å; angles 119.65, 90.00, 115.71 degrees
Sites, in units of the cell vectors:
Pa: 0.500 0.000 0.500
Se: 0.303 0.135 0.812
Ba: 0.733 0.466 0.229
Se: 0.697 0.865 0.188
Se: 0.168 0.865 0.188
Se: 0.276 0.552 0.370
Ba: 0.267 0.534 0.771
Se: 0.832 0.135 0.812
Se: 0.724 0.448 0.630
Pd: 0.071 0.141 0.219
Pd: 0.929 0.859 0.781

Output
**Crystal system**: monoclinic
**Uncorrected formation energy**: -1.1211 eV/atom
**Space-group type**: C2/m

Entry 2:
First-principles (GGA-PBE) data for an optimized crystal structure of RbSrNbN2, as listed in the Alexandria database.

Cell lengths 4.315, 5.371, 4.315 Å; angles 90.00, 90.00, 90.00 degrees
Sites, in units of the cell vectors:
Sr: 0.500 0.500 0.500
N: 0.000 0.000 0.500
N: 0.500 0.000 0.000
Rb: 0.000 0.500 0.000
Nb: 0.000 0.000 0.000

Output
**Crystal system**: tetragonal
**Uncorrected formation energy**: 0.8831 eV/atom
**Space-group type**: P4/mmm

Entry 3:
First-principles (GGA-PBE) data for an optimized crystal structure of Li4IrRh5, as listed in the Alexandria database.

Cell lengths 5.281, 6.787, 9.091 Å; angles 90.00, 90.00, 90.00 degrees
Each line ends with the local moment (μB).
Sites, in units of the cell vectors:
Rh: 0.749 0.679 0.740  0.19
Ir: 0.000 0.000 0.769  0.02
Ir: 0.500 0.500 0.231  0.02
Rh: 0.749 0.321 0.740  0.19
Li: 0.500 0.740 0.000  0.00
Rh: 0.249 0.179 0.260  0.19
Rh: 0.500 0.000 0.777  0.02
Li: 0.000 0.240 0.000  0.00
Rh: 0.000 0.500 0.223  0.02
Li: 0.749 0.000 0.520  0.00
Li: 0.000 0.760 0.000  0.00
Rh: 0.251 0.679 0.740  0.19
Li: 0.751 0.500 0.480  0.00
Rh: 0.751 0.821 0.260  0.19
Rh: 0.249 0.821 0.260  0.19
Li: 0.249 0.500 0.480  0.00
Li: 0.500 0.260 0.000  0.00
Li: 0.251 0.000 0.520  0.00
Rh: 0.251 0.321 0.740  0.19
Rh: 0.751 0.179 0.260  0.19

Output
**Crystal system**: orthorhombic
**Calculated formation energy**: 120 meV/atom
**Space-group type**: Pmmn

Entry 4:
First-principles (GGA-PBE) data for an optimized crystal structure of Li5B8C8, as listed in the Alexandria database.

Cell lengths 14.766, 14.718, 14.718 Å; angles 169.35, 161.82, 21.10 degrees
Sites, in units of the cell vectors:
C: 0.760 0.434 0.326
B: 0.429 0.066 0.363
C: 0.987 0.313 0.674
B: 0.098 0.438 0.660
Li: 0.876 0.875 0.001
C: 0.267 0.566 0.701
C: 0.263 0.937 0.326
Li: 0.374 0.375 0.999
C: 0.760 0.058 0.701
B: 0.821 0.184 0.637
B: 0.650 0.315 0.336
B: 0.600 0.935 0.664
Li: 0.744 0.751 0.994
B: 0.152 0.812 0.340
C: 0.490 0.816 0.674
Li: 0.506 0.499 0.006
B: 0.328 0.691 0.637
C: 0.983 0.684 0.299
B: 0.922 0.559 0.363
C: 0.490 0.192 0.299
Li: 0.125 0.125 0.000

Output
**Crystal system**: monoclinic
**Calculated formation energy**: -134 meV/atom
**Space-group type**: C2/m

Number 1: total energy -56.97 eV per cell. Number 2: total energy -24.95 eV per cell. Number 3: total energy -104.16 eV per cell. Number 4: total energy -139.60 eV per cell.